1.
# PBE Cd2BAu, optimized geometry
# - theoretical density (g/cm³) = 10.1
data_Cd2BAu
_symmetry_space_group_name_H-M 'F -4 3 m'
_symmetry_Int_Tables_number 216
_symmetry_space_group_name_Hall 'F -4 2 3'
_cell_length_a 6.586
_cell_length_b 6.586
_cell_length_c 6.586
_cell_angle_alpha 90.00
_cell_angle_beta 90.00
_cell_angle_gamma 90.00
loop_
_atom_site_label
_atom_site_type_symbol
_atom_site_fract_x
_atom_site_fract_y
_atom_site_fract_z
Cd1 Cd 0.000 0.000 0.000
Cd2 Cd 0.250 0.250 0.250
B1 B 0.000 0.000 0.500
Au1 Au 0.250 0.250 0.750

=====

2.
# PBE CdB4Au, optimized geometry
# - theoretical density (g/cm³) = 8.8
# - relative energy among the computed polymorphs (meV/atom) = 30
data_CdB4Au
_symmetry_space_group_name_H-M 'P 6/m m m'
_symmetry_Int_Tables_number 191
_symmetry_space_group_name_Hall '-P 6 2'
_cell_length_a 3.0861
_cell_length_b 3.0861
_cell_length_c 8.0390
_cell_angle_alpha 90.00
_cell_angle_beta 90.00
_cell_angle_gamma 120.00
loop_
_atom_site_label
_atom_site_type_symbol
_atom_site_fract_x
_atom_site_fract_y
_atom_site_fract_z
Cd1 Cd 0.0000 0.0000 0.0000
B1 B 0.3333 0.6667 0.2528
Au1 Au 0.0000 0.0000 0.5000

=====

3.
# PBE CdCoBAu, optimized geometry
# - theoretical density (g/cm³) = 11.0
# - relative energy among the computed polymorphs (meV/atom) = 0
data_CdCoBAu
_symmetry_space_group_name_H-M 'F -4 3 m'
_symmetry_Int_Tables_number 216
_symmetry_space_group_name_Hall 'F -4 2 3'
_cell_length_a 6.111
_cell_length_b 6.111
_cell_length_c 6.111
_cell_angle_alpha 90.00
_cell_angle_beta 90.00
_cell_angle_gamma 90.00
loop_
_atom_site_label
_atom_site_type_symbol
_atom_site_fract_x
_atom_site_fract_y
_atom_site_fract_z
Cd1 Cd 0.000 0.000 0.000
Co1 Co 0.250 0.250 0.750
B1 B 0.000 0.000 0.500
Au1 Au 0.250 0.250 0.250

=====

4.
# PBE CdCuBAu, optimized geometry
# - theoretical density (g/cm³) = 10.5
# - relative energy among the computed polymorphs (meV/atom) = 0
data_CdCuBAu
_symmetry_space_group_name_H-M 'F -4 3 m'
_symmetry_Int_Tables_number 216
_symmetry_space_group_name_Hall 'F -4 2 3'
_cell_length_a 6.231
_cell_length_b 6.231
_cell_length_c 6.231
_cell_angle_alpha 90.00
_cell_angle_beta 90.00
_cell_angle_gamma 90.00
loop_
_atom_site_label
_atom_site_type_symbol
_atom_site_fract_x
_atom_site_fract_y
_atom_site_fract_z
Cd1 Cd 0.000 0.000 0.000
Cu1 Cu 0.250 0.250 0.750
B1 B 0.000 0.000 0.500
Au1 Au 0.250 0.250 0.250

=====

no.,DFT total energy (eV/atom)
1,-2.1099
2,-4.5461
3,-3.6134
4,-2.8695